DFT (PBE) results for a relaxed structure of Ca3Ru.

Results
E_form	18	kJ/mol of atoms
DFT total energy	-3.631	eV/atom
symmetry	No. 71

abc: 7.0066 7.0066 7.0066
angles: 150.71 134.06 55.42
Positions (direct):
Ca 0.0733 0.0733 0.0000
Ca 0.7500 0.2500 0.5000
Ca 0.4267 0.4267 0.0000
Ru 0.2500 0.7500 0.5000

DFT (PBE) results for a relaxed structure of CaRuS2.

Results
energy relative to the elements, uncorrected	-788	meV per atom
DFT total energy	-5.671	eV/atom
symmetry	No. 122
energy relative to the lowest polymorph listed for this composition	0.000	eV per atom

abc: 5.5717 5.5717 7.1848
angles: 67.19 67.19 90.00
Positions (direct):
S 0.6951 0.1250 0.2500
S 0.3750 0.3049 0.7500
S 0.8750 0.9451 0.7500
S 0.0549 0.6250 0.2500
Ru 0.7500 0.2500 0.5000
Ru 0.0000 0.0000 0.0000
Ca 0.2500 0.7500 0.5000
Ca 0.5000 0.5000 0.0000

DFT (PBE) results for a relaxed structure of Ca2RuS.

Results
energy relative to the elements, uncorrected	-158	meV per atom
DFT total energy	-4.510	eV/atom
symmetry	No. 122

abc: 7.5786 7.5786 6.1964
angles: 52.30 52.30 90.00
Positions (direct):
Ru 0.7500 0.2500 0.5000
Ru 0.0000 0.0000 0.0000
S 0.2500 0.7500 0.5000
S 0.5000 0.5000 0.0000
Ca 0.8750 0.8629 0.7500
Ca 0.3750 0.3871 0.7500
Ca 0.6129 0.1250 0.2500
Ca 0.1371 0.6250 0.2500

DFT (PBE) results for a relaxed structure of CaRuS3.

Results
energy relative to the elements, uncorrected	901	meV per atom
DFT total energy	-3.831	eV/atom
symmetry	No. 221
energy relative to the lowest polymorph listed for this composition	1.400	eV per atom

abc: 5.1010 5.1010 5.1010
angles: 90.00 90.00 90.00
Positions (direct):
S 0.0000 0.0000 0.5000
S 0.0000 0.5000 0.0000
S 0.5000 0.0000 0.0000
Ca 0.0000 0.0000 0.0000
Ru 0.5000 0.5000 0.5000